# 1
A plane-wave DFT calculation with SCAN was carried out for a crystal of TaSiCl relaxed with PBEsol.

- Crystal system: orthorhombic
- Spin magnetization: 0.000 μB/f.u.
- Formation energy (no corrections): -1 meV per atom
- Final energy: -28.19 eV per atom

a b c (Å): 7.156 7.068 2.860
angles (deg): 80.12 76.69 23.19
Atoms (fractional coordinates):
Ta 0.000 0.000 0.000
Si 0.354 0.354 0.646
Cl 0.625 0.625 0.375

=====

# 2
A plane-wave DFT calculation with SCAN was carried out for a crystal of TaSi2Cl relaxed with PBEsol.

- Crystal system: orthorhombic
- Spin magnetization: 0.000 μB/f.u.
- Formation energy (no corrections): 265 meV per atom
- Final energy: -23.38 eV per atom
- Distance to the lowest polymorph of the same formula: 0.027 eV per atom

a b c (Å): 4.522 5.085 5.085
angles (deg): 32.96 90.00 90.00
Atoms (fractional coordinates):
Ta 0.000 0.000 0.000
Si 0.000 0.741 0.741
Si 0.500 0.423 0.423
Cl 0.500 0.185 0.185

=====

# 3
A plane-wave DFT calculation with SCAN was carried out for a crystal of TaSi2Cl relaxed with PBEsol.

- Crystal system: tetragonal
- Spin magnetization: 0.000 μB/f.u.
- Formation energy (no corrections): 238 meV per atom
- Final energy: -23.41 eV per atom
- Distance to the lowest polymorph of the same formula: 0.000 eV per atom

a b c (Å): 3.295 3.295 6.311
angles (deg): 90.00 90.00 90.00
Atoms (fractional coordinates):
Ta 0.000 0.000 0.000
Si 0.500 0.500 0.197
Si 0.500 0.500 0.803
Cl 0.000 0.000 0.500